DFT (PBE-GGA) results for crystalline PaMnNiGe at its relaxed geometry.

- total magnetization (μB/f.u.) = 2.58
- DFT total energy (eV per atom) = -7.414
- formation energy (meV/atom) = -148

Lattice parameters (Å, degrees): 6.3753 6.3753 6.3753 90.00 90.00 90.00
Space group F-43m (No. 216)
One atom of each set of equivalent atoms:
Pa: 0.0000 0.0000 0.0000
Mn: 0.2500 0.2500 0.7500
Ni: 0.2500 0.2500 0.2500
Ge: 0.0000 0.0000 0.5000